A PBEsol-optimized structure of CaBiAu4, computed with meta-GGA SCAN.

SG ... No. 216
Energy of formation ... -469 meV per atom

Lattice parameters (Å, degrees): 5.5885 5.5885 5.5885 60.00 60.00 60.00
Atoms (fractional coordinates):
Ca 0.0000 0.0000 0.0000
Bi 0.2500 0.2500 0.2500
Au 0.1240 0.6253 0.6253
Au 0.6253 0.1240 0.6253
Au 0.6253 0.6253 0.1240
Au 0.6253 0.6253 0.6253